(1)
Compound: Tb5Ru2Pb2
Source: Alexandria via LeMat-Bulk
Functional: PBE-GGA
Structure: optimized geometry

Its total energy is -5.848 eV/atom. The energy of formation from the pure elements comes out at -390 meV per atom. The value obtained for the density is 9.81 g/cm3. As for the symmetry: Cmce (64).

abc: 9.039 9.039 7.408
angles: 90.00 90.00 52.11
Element x y z (fractional)
Tb1 0.000 0.000 0.000
Tb2 0.059 0.708 0.664
Tb3 0.208 0.559 0.164
Tb4 0.292 0.941 0.664
Tb5 0.441 0.792 0.164
Tb6 0.500 0.500 0.500
Tb7 0.559 0.208 0.836
Tb8 0.708 0.059 0.336
Tb9 0.792 0.441 0.836
Tb10 0.941 0.292 0.336
Ru1 0.129 0.871 0.374
Ru2 0.371 0.629 0.874
Ru3 0.629 0.371 0.126
Ru4 0.871 0.129 0.626
Pb1 0.220 0.220 0.000
Pb2 0.280 0.280 0.500
Pb3 0.720 0.720 0.500
Pb4 0.780 0.780 0.000

(2)
Compound: Li3As2Pd3
Source: Alexandria via LeMat-Bulk
Functional: PBE-GGA
Structure: optimized geometry

Its total energy is -4.361 eV/atom. The energy of formation from the pure elements comes out at -534 meV per atom. The polymorph energy (0 for the lowest one) is 0.27 eV per formula unit. The value obtained for the density is 6.50 g/cm3. As for the symmetry: Cmcm (63).

abc: 4.916 4.916 13.283
angles: 90.00 90.00 128.79
Element x y z (fractional)
Li1 0.054 0.946 0.597
Li2 0.054 0.946 0.903
Li3 0.262 0.738 0.750
Li4 0.738 0.262 0.250
Li5 0.946 0.054 0.097
Li6 0.946 0.054 0.403
As1 0.260 0.740 0.113
As2 0.260 0.740 0.387
As3 0.740 0.260 0.613
As4 0.740 0.260 0.887
Pd1 0.374 0.626 0.563
Pd2 0.374 0.626 0.937
Pd3 0.444 0.556 0.250
Pd4 0.556 0.444 0.750
Pd5 0.626 0.374 0.063
Pd6 0.626 0.374 0.437

(3)
Compound: U2Nb3C4
Source: Alexandria via LeMat-Bulk
Functional: PBE-GGA
Structure: optimized geometry

Its total energy is -10.389 eV/atom. The energy of formation from the pure elements comes out at -424 meV per atom. The value obtained for the density is 11.01 g/cm3. As for the symmetry: C2/m (12).

abc: 5.514 5.514 7.952
angles: 113.67 113.67 33.48
Element x y z (fractional)
U1 0.082 0.082 0.411
U2 0.918 0.918 0.589
Nb1 0.277 0.277 0.173
Nb2 0.500 0.500 0.000
Nb3 0.723 0.723 0.827
C1 0.103 0.103 0.899
C2 0.315 0.315 0.708
C3 0.685 0.685 0.292
C4 0.897 0.897 0.101

(4)
Compound: LiCo2HgI
Source: Alexandria via LeMat-Bulk
Functional: PBE-GGA
Structure: optimized geometry

Its total energy is -2.737 eV/atom. As for the formation energy without anion corrections: 0.859 eV per atom. The value obtained for the density is 6.02 g/cm3. As for the symmetry: P4/mmm (123).

abc: 4.950 4.950 5.089
angles: 90.00 90.00 90.00
Element x y z (fractional)
Li1 0.000 0.000 0.000
Co1 0.000 0.500 0.500
Co2 0.500 0.000 0.500
Hg1 0.000 0.000 0.500
I1 0.500 0.500 0.000

(5)
Compound: Ba2PdS
Source: Alexandria via LeMat-Bulk
Functional: PBE-GGA
Structure: optimized geometry

Its total energy is -4.263 eV/atom. As for the formation energy without anion corrections: -0.971 eV per atom. The value obtained for the density is 3.79 g/cm3. As for the symmetry: I-42d (122).

abc: 8.616 8.616 8.616
angles: 130.39 130.39 72.78
Element x y z (fractional)
Ba1 0.115 0.625 0.990
Ba2 0.375 0.365 0.490
Ba3 0.635 0.125 0.010
Ba4 0.875 0.885 0.510
Pd1 0.250 0.750 0.500
Pd2 0.500 0.500 0.000
S1 0.000 0.000 0.000
S2 0.750 0.250 0.500

(6)
Compound: Ce5Bi3Pb
Source: Alexandria via LeMat-Bulk
Functional: PBE-GGA
Structure: optimized geometry

Its total energy is -5.645 eV/atom. The energy of formation from the pure elements comes out at -643 meV per atom. The value obtained for the density is 9.33 g/cm3. As for the symmetry: P6_3/mcm (193).

abc: 9.783 9.783 6.587
angles: 90.00 90.00 120.00
Element x y z (fractional)
Ce1 0.000 0.279 0.250
Ce2 0.000 0.721 0.750
Ce3 0.279 0.000 0.250
Ce4 0.279 0.279 0.750
Ce5 0.333 0.667 0.000
Ce6 0.333 0.667 0.500
Ce7 0.667 0.333 0.000
Ce8 0.667 0.333 0.500
Ce9 0.721 0.000 0.750
Ce10 0.721 0.721 0.250
Bi1 0.000 0.379 0.750
Bi2 0.000 0.621 0.250
Bi3 0.379 0.000 0.750
Bi4 0.379 0.379 0.250
Bi5 0.621 0.000 0.250
Bi6 0.621 0.621 0.750
Pb1 0.000 0.000 0.000
Pb2 0.000 0.000 0.500

(7)
Compound: Ti2CdCo2
Source: Alexandria via LeMat-Bulk
Functional: PBE-GGA
Structure: optimized geometry

Its total energy is -6.119 eV/atom. The energy of formation from the pure elements comes out at 64 meV per atom. The value obtained for the density is 6.66 g/cm3. As for the symmetry: I4/mmm (139).

abc: 6.807 6.807 6.807
angles: 149.43 149.43 43.77
Element x y z (fractional)
Ti1 0.127 0.127 0.000
Ti2 0.873 0.873 0.000
Cd1 0.500 0.500 0.000
Co1 0.250 0.750 0.500
Co2 0.750 0.250 0.500

(8)
Compound: Cd4In3Bi
Source: Alexandria via LeMat-Bulk
Functional: PBE-GGA
Structure: optimized geometry

Its total energy is -1.923 eV/atom. The energy of formation from the pure elements comes out at 46 meV per atom. The value obtained for the density is 7.90 g/cm3. As for the symmetry: C2/m (12).

abc: 7.487 7.487 5.718
angles: 108.02 108.02 44.23
Element x y z (fractional)
Cd1 0.125 0.125 0.120
Cd2 0.256 0.256 0.777
Cd3 0.744 0.744 0.223
Cd4 0.875 0.875 0.880
In1 0.366 0.366 0.383
In2 0.500 0.500 0.000
In3 0.634 0.634 0.617
Bi1 0.000 0.000 0.500